Entry 1:
Density functional theory data (PBEsol) for NaHgTeC2 after structural relaxation.

Geometry as POSCAR:
```
NaHgTeC2
1.0
4.381 0.000 0.000
0.000 4.381 0.000
0.000 0.000 5.628
Na Hg Te C
1 1 1 2
Direct
0.000 0.000 0.000
0.500 0.500 0.500
0.000 0.000 0.500
0.000 0.500 0.000
0.500 0.000 0.000
```

Output
Crystal system = tetragonal
Space group = P4/mmm
E_tot = -2.2549 eV/atom

---

Entry 2:
Density functional theory data (PBEsol) for NbHg3C after structural relaxation.

Geometry as POSCAR:
```
NbHg3C
1.0
4.505 0.000 0.000
0.000 4.505 0.000
0.000 0.000 4.505
Nb Hg C
1 3 1
Direct
0.000 0.000 0.000
0.000 0.500 0.500
0.500 0.000 0.500
0.500 0.500 0.000
0.500 0.500 0.500
```

Output
Crystal system = cubic
DFT formation energy = 1.40 eV/atom
Space group = Pm-3m

---

Entry 3:
Density functional theory data (PBEsol) for NbHgCO2 after structural relaxation.

Geometry as POSCAR:
```
NbHgCO2
1.0
3.926 0.000 0.000
0.000 3.926 0.000
0.000 0.000 4.163
Nb Hg C O
1 1 1 2
Direct
0.000 0.000 0.000
0.500 0.500 0.000
0.000 0.000 0.500
0.000 0.500 0.500
0.500 0.000 0.500
```

Output
Crystal system = tetragonal
Space group = P4/mmm
E_tot = -5.3028 eV/atom

---

Entry 4:
Density functional theory data (PBEsol) for NiHgC2 after structural relaxation.

Geometry as POSCAR:
```
NiHgC2
1.0
-2.406 2.406 4.464
2.406 -2.406 4.464
2.406 2.406 -4.464
Ni Hg C
2 2 4
Direct
0.000 0.000 0.000
0.750 0.250 0.500
0.250 0.750 0.500
0.500 0.500 0.000
0.042 0.625 0.917
0.375 0.292 0.417
0.708 0.125 0.083
0.875 0.958 0.583
```

Output
Crystal system = tetragonal
DFT formation energy = 1.52 eV/atom
Space group = I-42d